Entry 1:
VASP calculation (GGA-PBE) on crystalline OsPb2 at its relaxed geometry.

Properties
The value obtained for the final energy is -16.5 eV/f.u.

a b c (Å): 9.044 9.044 4.506
angles (deg): 90.00 90.00 154.40
Atoms (fractional coordinates):
Pb (0.692, 0.308, 0.250)
Pb (0.578, 0.422, 0.750)
Os (0.967, 0.033, 0.750)
Pb (0.422, 0.578, 0.250)
Pb (0.308, 0.692, 0.750)
Os (0.033, 0.967, 0.250)



Entry 2:
VASP calculation (GGA-PBE) on crystalline Tb6NdY3Tm2 at its relaxed geometry.

Properties
The value obtained for the final energy is -60.7 eV/f.u.

a b c (Å): 6.165 6.165 11.804
angles (deg): 94.97 94.97 119.95
Atoms (fractional coordinates):
Tb (0.251, 0.251, 0.751)
Y (0.833, 0.167, 0.500)
Tb (0.084, 0.418, 0.249)
Tb (0.418, 0.084, 0.249)
Tb (0.582, 0.916, 0.751)
Tm (0.333, 0.667, 0.000)
Y (0.500, 0.500, 0.500)
Y (0.167, 0.833, 0.500)
Tb (0.749, 0.749, 0.249)
Tm (0.667, 0.333, 0.000)
Nd (0.000, 0.000, 0.000)
Tb (0.916, 0.582, 0.751)



Entry 3:
VASP calculation (GGA-PBE) on crystalline TmPdPt2 at its relaxed geometry.

Properties
The value obtained for the final energy is -24.8 eV/f.u.

a b c (Å): 4.655 4.655 4.654
angles (deg): 59.99 59.99 60.00
Atoms (fractional coordinates):
Pt (0.750, 0.750, 0.750)
Pd (0.000, 0.000, 0.000)
Pt (0.250, 0.250, 0.250)
Tm (0.500, 0.500, 0.500)



Entry 4:
VASP calculation (GGA-PBE) on crystalline Tm3Tl2Cd2 at its relaxed geometry.

Properties
The value obtained for the final energy is -21.7 eV/f.u.

a b c (Å): 4.732 3.365 11.391
angles (deg): 90.00 78.01 90.00
Last column: magnetic moment on the atom in μB.
Atoms (fractional coordinates):
Tm (0.000, 0.000, 0.000)  0.25
Tl (0.423, 0.500, 0.155)  0.00
Tm (0.846, 0.000, 0.309)  0.08
Cd (0.284, 0.500, 0.432)  0.00
Tm (0.154, 0.000, 0.691)  0.08
Tl (0.577, 0.500, 0.845)  0.00
Cd (0.716, 0.500, 0.568)  0.00



Entry 5:
VASP calculation (GGA-PBE) on crystalline K3GaBi3Se8 at its relaxed geometry.

Properties
Its raw formation energy is -0.66 eV/atom. The value obtained for the final energy is -55.7 eV/f.u.

a b c (Å): 8.288 8.293 9.363
angles (deg): 116.31 90.00 119.97
Atoms (fractional coordinates):
Ga (0.000, 0.000, 0.500)
Se (0.215, 0.978, 0.693)
K (0.500, 0.500, 0.000)
Se (0.237, 0.022, 0.307)
K (0.000, 0.500, 0.000)
Bi (0.500, 0.000, 0.500)
Se (0.785, 0.570, 0.307)
Se (0.738, 0.475, 0.713)
Bi (0.000, 0.500, 0.500)
K (0.000, 0.000, 0.000)
Se (0.785, 0.022, 0.307)
Se (0.763, 0.978, 0.693)
Se (0.215, 0.430, 0.693)
Bi (0.500, 0.500, 0.500)
Se (0.262, 0.525, 0.287)



Entry 6:
VASP calculation (GGA-PBE) on crystalline Tb2NdAl6 at its relaxed geometry.

Properties
The value obtained for the final energy is -40.8 eV/f.u.

a b c (Å): 3.563 7.955 7.955
angles (deg): 120.00 90.00 90.00
Atoms (fractional coordinates):
Nd (0.000, 0.000, 0.000)
Al (0.500, 0.335, 0.000)
Al (0.500, 0.000, 0.665)
Al (0.500, 0.665, 0.665)
Tb (0.000, 0.667, 0.333)
Al (0.500, 0.665, 0.000)
Al (0.500, 0.000, 0.335)
Tb (0.000, 0.333, 0.667)
Al (0.500, 0.335, 0.335)